Entry 1:
Ac3In9Pt2, relaxed, DFT PBE; crystal system = orthorhombic; total magnetization = 0.0 μB per formula unit; ΔE_f = -496 meV/atom
1.0
-2.418 5.642 6.805
2.418 -5.642 6.805
2.418 5.642 -6.805
Ac In Pt
3 9 2
direct
0.000 0.000 0.000
0.323 0.323 0.000
0.677 0.677 0.000
0.030 0.661 0.369
0.154 0.875 0.279
0.292 0.661 0.631
0.403 0.125 0.279
0.500 0.000 0.500
0.597 0.875 0.721
0.708 0.339 0.369
0.846 0.125 0.721
0.970 0.339 0.631
0.289 0.500 0.789
0.711 0.500 0.211

=====

Entry 2:
ErSCl, relaxed, DFT PBE; crystal system = trigonal; total magnetization = 0.0 μB per formula unit; raw formation energy = -2.10 eV per atom
1.0
3.979 0.000 0.000
-1.990 3.446 0.000
0.000 0.000 6.511
Er S Cl
1 1 1
direct
0.000 0.000 0.000
0.667 0.333 0.809
0.333 0.667 0.249

=====

Entry 3:
Fe2PPd, relaxed, DFT PBE; crystal system = tetragonal; total magnetization = 5.1 μB per formula unit; ΔE_f = 176 meV/atom
1.0
3.579 0.000 0.000
0.000 3.579 0.000
0.000 0.000 17.310
Fe P Pd
8 4 4
direct
0.213 0.250 0.125
0.250 0.713 0.375
0.250 0.787 0.875
0.287 0.250 0.625
0.713 0.750 0.625
0.750 0.213 0.875
0.750 0.287 0.375
0.787 0.750 0.125
0.000 0.000 0.000
0.000 0.500 0.250
0.500 0.000 0.750
0.500 0.500 0.500
0.000 0.000 0.500
0.000 0.500 0.750
0.500 0.000 0.250
0.500 0.500 0.000

=====

Entry 4:
RbMgHg3, relaxed, DFT PBE; crystal system = cubic; total magnetization = 0.0 μB per formula unit; ΔE_f = -143 meV/atom
1.0
5.622 0.000 0.000
0.000 5.622 0.000
0.000 0.000 5.622
Rb Mg Hg
1 1 3
direct
0.000 0.000 0.000
0.500 0.500 0.500
0.000 0.500 0.500
0.500 0.000 0.500
0.500 0.500 0.000

=====

- Which value of total magnetization does entry 2 give?
  0.0 μB per formula unit

=====

Copy entry 3 word for word.
Fe2PPd, relaxed, DFT PBE; crystal system = tetragonal; total magnetization = 5.1 μB per formula unit; ΔE_f = 176 meV/atom
1.0
3.579 0.000 0.000
0.000 3.579 0.000
0.000 0.000 17.310
Fe P Pd
8 4 4
direct
0.213 0.250 0.125
0.250 0.713 0.375
0.250 0.787 0.875
0.287 0.250 0.625
0.713 0.750 0.625
0.750 0.213 0.875
0.750 0.287 0.375
0.787 0.750 0.125
0.000 0.000 0.000
0.000 0.500 0.250
0.500 0.000 0.750
0.500 0.500 0.500
0.000 0.000 0.500
0.000 0.500 0.750
0.500 0.000 0.250
0.500 0.500 0.000

=====

- Which formula does entry 3 have?
  Fe2PPd

=====

- The highest total magnetization belongs to which entry?
  Fe2PPd